# MnTlPt | Alexandria | PBE | optimized geometry
# Formation energy = 23.6 kJ/mol of formula units
# Energy above the most stable polymorph in this dataset = 0.11 eV/f.u.
data_MnTlPt
_cell_length_a 4.4950
_cell_length_b 4.4950
_cell_length_c 4.4950
_cell_angle_alpha 60.00
_cell_angle_beta 60.00
_cell_angle_gamma 60.00
_symmetry_space_group_name_H-M 'P 1'
_symmetry_Int_Tables_number 1
loop_
_symmetry_equiv_pos_as_xyz
'x,y,z'
loop_
_atom_site_label
_atom_site_type_symbol
_atom_site_fract_x
_atom_site_fract_y
_atom_site_fract_z
Tl1 Tl 0.0000 0.0000 0.0000
Mn1 Mn 0.5000 0.5000 0.5000
Pt1 Pt 0.7500 0.7500 0.7500